Entry 1:
Compound: Fe3CoMo
Source: the Alexandria database
Functional: GGA-PBE
Structure: optimized geometry

formation enthalpy at 0 K = 166.0 kJ per mole of atoms
relative energy among the computed polymorphs = 1.27 eV/f.u.
uncorrected energy = -34.72 eV/f.u.

Cell lengths 4.388, 4.388, 4.388 Å; angles 90.00, 90.00, 90.00 degrees
Space group Pm-3m (No. 221)
One atom of each set of equivalent atoms:
Fe 0.000 0.000 0.500
Co 0.500 0.500 0.500
Mo 0.000 0.000 0.000

***

Entry 2:
Compound: CaHo2Zr
Source: the Alexandria database
Functional: GGA-PBE
Structure: optimized geometry

formation enthalpy at 0 K = 9.9 kJ per mole of atoms
relative energy among the computed polymorphs = 0.00 eV/f.u.
uncorrected energy = -19.30 eV/f.u.

Cell lengths 3.490, 3.490, 10.150 Å; angles 90.00, 90.00, 90.00 degrees
Space group P4/mmm (No. 123)
One atom of each set of equivalent atoms:
Ca 0.000 0.000 0.000
Ho 0.500 0.500 0.285
Zr 0.000 0.000 0.500